RbScPtS2 | GGA-PBE | relaxed

## Properties
- symmetry = P4/mmm (123)
- final energy (eV/atom) = -3.174

POSCAR file:
```
RbScPtS2
1.0
5.254 0.000 0.000
0.000 5.254 0.000
0.000 0.000 5.065
Rb Sc Pt S
1 1 1 2
Direct
0.000 0.000 0.000 Rb
0.500 0.500 0.500 Sc
0.000 0.000 0.500 Pt
0.000 0.500 0.000 S
0.500 0.000 0.000 S
```


Rb2UPtS4 | GGA-PBE | relaxed

## Properties
- symmetry = I-4 (82)
- final energy (eV/atom) = -5.341

POSCAR file:
```
Rb2UPtS4
1.0
-3.794 3.794 4.096
3.794 -3.794 4.096
3.794 3.794 -4.096
Rb U Pt S
2 1 1 4
Direct
0.000 0.000 0.000 Rb
0.750 0.250 0.500 Rb
0.250 0.750 0.500 U
0.500 0.500 0.000 Pt
0.282 0.168 0.588 S
0.305 0.718 0.886 S
0.581 0.695 0.412 S
0.832 0.419 0.114 S
```


RbU2PtS4 | GGA-PBE | relaxed

## Properties
- symmetry = Cmcm (63)
- final energy (eV/atom) = -6.954

POSCAR file:
```
RbU2PtS4
1.0
2.015 -6.820 0.000
2.015 6.820 0.000
0.000 0.000 13.797
Rb U Pt S
2 4 2 8
Direct
0.110 0.890 0.750 Rb
0.890 0.110 0.250 Rb
0.368 0.632 0.564 U
0.368 0.632 0.936 U
0.632 0.368 0.064 U
0.632 0.368 0.436 U
0.164 0.836 0.250 Pt
0.836 0.164 0.750 Pt
0.000 0.000 0.000 S
0.000 0.000 0.500 S
0.262 0.738 0.103 S
0.262 0.738 0.397 S
0.431 0.569 0.750 S
0.569 0.431 0.250 S
0.738 0.262 0.603 S
0.738 0.262 0.897 S
```


Rb2UPtS5 | GGA-PBE | relaxed

## Properties
- symmetry = Cmc2_1 (36)
- final energy (eV/atom) = -5.404

POSCAR file:
```
Rb2UPtS5
1.0
2.075 -10.072 0.000
2.075 10.072 0.000
0.000 0.000 13.838
Rb U Pt S
4 2 2 10
Direct
0.110 0.890 0.500 Rb
0.122 0.878 0.151 Rb
0.878 0.122 0.651 Rb
0.890 0.110 0.000 Rb
0.208 0.792 0.840 U
0.792 0.208 0.340 U
0.402 0.598 0.222 Pt
0.598 0.402 0.722 Pt
0.080 0.920 0.791 S
0.284 0.716 0.222 S
0.304 0.696 0.461 S
0.330 0.670 0.837 S
0.494 0.506 0.129 S
0.506 0.494 0.629 S
0.670 0.330 0.337 S
0.696 0.304 0.961 S
0.716 0.284 0.722 S
0.920 0.080 0.291 S
```


Rb2UPtS6 | GGA-PBE | relaxed

## Properties
- symmetry = Fm-3m (225)
- final energy (eV/atom) = -5.216

POSCAR file:
```
Rb2UPtS6
1.0
0.000 4.941 4.941
4.941 0.000 4.941
4.941 4.941 0.000
Rb U Pt S
2 1 1 6
Direct
0.250 0.250 0.250 Rb
0.750 0.750 0.750 Rb
0.000 0.000 0.000 U
0.500 0.500 0.500 Pt
0.256 0.256 0.744 S
0.256 0.744 0.256 S
0.256 0.744 0.744 S
0.744 0.256 0.256 S
0.744 0.256 0.744 S
0.744 0.744 0.256 S
```


Rb3U3PtS8 | GGA-PBE | relaxed

## Properties
- symmetry = C2/m (12)
- final energy (eV/atom) = -6.221

POSCAR file:
```
Rb3U3PtS8
1.0
6.617 -4.039 0.000
6.617 4.039 0.000
-4.187 0.000 7.858
Rb U Pt S
3 3 1 8
Direct
0.000 0.000 0.000 Rb
0.000 0.500 0.000 Rb
0.500 0.000 0.000 Rb
0.000 0.500 0.500 U
0.500 0.000 0.500 U
0.500 0.500 0.500 U
0.000 0.000 0.500 Pt
0.206 0.206 0.670 S
0.246 0.702 0.699 S
0.268 0.268 0.304 S
0.298 0.754 0.301 S
0.702 0.246 0.699 S
0.732 0.732 0.696 S
0.754 0.298 0.301 S
0.794 0.794 0.330 S
```


RbU2Pt2S6 | GGA-PBE | relaxed

## Properties
- symmetry = P-1 (2)
- final energy (eV/atom) = -6.400

POSCAR file:
```
RbU2Pt2S6
1.0
6.997 0.000 0.000
3.422 6.105 0.000
0.345 3.678 6.412
Rb U Pt S
1 2 2 6
Direct
0.000 0.000 0.000 Rb
0.008 0.333 0.328 U
0.992 0.667 0.672 U
0.441 0.849 0.679 Pt
0.559 0.151 0.321 Pt
0.229 0.247 0.660 S
0.237 0.843 0.446 S
0.250 0.439 0.046 S
0.750 0.561 0.954 S
0.763 0.157 0.554 S
0.771 0.753 0.340 S
```


Rb2UPt2S6 | GGA-PBE | relaxed

## Properties
- symmetry = C2/m (12)
- final energy (eV/atom) = -5.302

POSCAR file:
```
Rb2UPt2S6
1.0
6.380 -3.690 0.000
6.380 3.690 0.000
-4.254 0.000 6.589
Rb U Pt S
2 1 2 6
Direct
0.234 0.234 0.204 Rb
0.766 0.766 0.796 Rb
0.000 0.000 0.500 U
0.421 0.421 0.758 Pt
0.579 0.579 0.242 Pt
0.236 0.761 0.262 S
0.237 0.237 0.731 S
0.239 0.764 0.738 S
0.761 0.236 0.262 S
0.763 0.763 0.269 S
0.764 0.239 0.738 S
```


Which of these has the lowest final energy?
RbU2PtS4


Repeat the sixth record exactly.
Rb3U3PtS8 | GGA-PBE | relaxed

## Properties
- symmetry = C2/m (12)
- final energy (eV/atom) = -6.221

POSCAR file:
```
Rb3U3PtS8
1.0
6.617 -4.039 0.000
6.617 4.039 0.000
-4.187 0.000 7.858
Rb U Pt S
3 3 1 8
Direct
0.000 0.000 0.000 Rb
0.000 0.500 0.000 Rb
0.500 0.000 0.000 Rb
0.000 0.500 0.500 U
0.500 0.000 0.500 U
0.500 0.500 0.500 U
0.000 0.000 0.500 Pt
0.206 0.206 0.670 S
0.246 0.702 0.699 S
0.268 0.268 0.304 S
0.298 0.754 0.301 S
0.702 0.246 0.699 S
0.732 0.732 0.696 S
0.754 0.298 0.301 S
0.794 0.794 0.330 S
```


final energy of number 2 (Rb2UPtS4)?
-5.341 eV/atom


What is the final energy in the third record?
-6.954 eV/atom